Below is Pm4BNCl2 after structural relaxation, with properties calculated at the PBE level.

Cell lengths 3.806, 6.479, 7.419 Å; angles 107.63, 90.00, 90.00 degrees
Sites, in units of the cell vectors:
1 B 0.500 0.500 0.000
2 Pm 0.500 0.225 0.191
3 Pm 0.000 0.258 0.804
4 Pm 0.000 0.742 0.196
5 Pm 0.500 0.775 0.809
6 N 0.000 0.000 0.000
7 Cl 0.000 0.500 0.500
8 Cl 0.500 0.000 0.500

Values from the calculation:
Calculated volume in Å³/atom: 21.8
E_form (uncorrected) in eV per atom: -1.240
Electronic total energy in eV per atom: -5.95
Symmetry: P2/m, No. 10

=====

Below is Cd2Sb2O7 after structural relaxation, with properties calculated at the PBE level.

Cell lengths 7.384, 7.384, 7.384 Å; angles 60.00, 60.00, 60.00 degrees
Sites, in units of the cell vectors:
1 O 0.949 0.551 0.551
2 O 0.949 0.949 0.551
3 O 0.301 0.301 0.699
4 O 0.699 0.301 0.699
5 O 0.551 0.949 0.949
6 O 0.699 0.699 0.301
7 O 0.551 0.551 0.949
8 O 0.949 0.551 0.949
9 O 0.000 0.000 0.000
10 O 0.301 0.699 0.699
11 O 0.301 0.699 0.301
12 O 0.699 0.301 0.301
13 O 0.551 0.949 0.551
14 O 0.250 0.250 0.250
15 Sb 0.125 0.625 0.625
16 Sb 0.625 0.125 0.625
17 Sb 0.625 0.625 0.125
18 Sb 0.625 0.625 0.625
19 Cd 0.125 0.625 0.125
20 Cd 0.625 0.125 0.125
21 Cd 0.125 0.125 0.625
22 Cd 0.125 0.125 0.125

Values from the calculation:
Calculated volume in Å³/atom: 12.9
E_form (uncorrected) in eV per atom: -1.348
Electronic total energy in eV per atom: -5.42
Symmetry: Fd-3m, No. 227

=====

Below is Pm2Ge4Ir3Os after structural relaxation, with properties calculated at the PBE level.

Cell lengths 4.311, 4.311, 9.986 Å; angles 90.00, 90.00, 90.00 degrees
Sites, in units of the cell vectors:
1 Ge 0.000 0.500 0.373
2 Ge 0.500 0.500 0.000
3 Ge 0.500 0.000 0.627
4 Ge 0.000 0.000 0.000
5 Ir 0.000 0.000 0.500
6 Ir 0.500 0.000 0.874
7 Ir 0.000 0.500 0.126
8 Os 0.500 0.500 0.500
9 Pm 0.000 0.500 0.751
10 Pm 0.500 0.000 0.249

Values from the calculation:
Calculated volume in Å³/atom: 18.6
Electronic total energy in eV per atom: -7.26
Formation energy from the elements in eV/atom: -0.680
Symmetry: P-4m2, No. 115

=====

Below is Ca2TaCdO6 after structural relaxation, with properties calculated at the PBE level.

Cell lengths 5.700, 5.700, 5.944 Å; angles 61.35, 61.35, 60.00 degrees
Sites, in units of the cell vectors:
1 Ca 0.029 0.029 0.914
2 Ca 0.533 0.533 0.402
3 O 0.124 0.438 0.777
4 O 0.438 0.662 0.777
5 O 0.980 0.575 0.246
6 O 0.575 0.199 0.246
7 O 0.662 0.123 0.777
8 O 0.199 0.980 0.246
9 Cd 0.810 0.810 0.571
10 Ta 0.313 0.313 0.062

Values from the calculation:
Calculated volume in Å³/atom: 13.9
E_form (uncorrected) in eV per atom: -2.409
Electronic total energy in eV per atom: -7.06
Symmetry: R3, No. 146

=====

no.,total magnetization (μB per cell),DOS(E_F) (states/eV per atom)
1,0.0,0.441
2,0.0,0.089
3,0.0,0.517
4,1.1,0.513